1.
# K2LiHf2S6, relaxed, DFT PBE
data_K2LiHf2S6
_chemical_formula_sum 'K4 Li2 Hf4 S12'
_cell_length_a 6.434
_cell_length_b 11.167
_cell_length_c 7.860
_cell_angle_alpha 90.00
_cell_angle_beta 104.87
_cell_angle_gamma 90.00
_space_group_name_H-M_alt 'C 1 2/m 1'
_space_group_IT_number 12
_space_group_name_Hall '-C 2y'
loop_
_atom_site_label
_atom_site_type_symbol
_atom_site_fract_x
_atom_site_fract_y
_atom_site_fract_z
K1 K 0.000 0.162 0.000
Li1 Li 0.000 0.000 0.500
Hf1 Hf 0.000 0.334 0.500
S1 S 0.207 0.500 0.693
S2 S 0.235 0.175 0.691
# Raw total energy = -5.8258 eV per atom

---

2.
# KLiHfSe3, relaxed, DFT PBE
data_KLiHfSe3
_chemical_formula_sum 'K2 Li2 Hf2 Se6'
_cell_length_a 8.925
_cell_length_b 3.966
_cell_length_c 9.494
_cell_angle_alpha 90.00
_cell_angle_beta 109.30
_cell_angle_gamma 90.00
_space_group_name_H-M_alt 'P 1 21/m 1'
_space_group_IT_number 11
_space_group_name_Hall '-P 2yb'
loop_
_atom_site_label
_atom_site_type_symbol
_atom_site_fract_x
_atom_site_fract_y
_atom_site_fract_z
K1 K 0.216 0.250 0.258
Li1 Li 0.077 0.250 0.600
Hf1 Hf 0.322 0.750 0.841
Se1 Se 0.131 0.250 0.875
Se2 Se 0.223 0.750 0.552
Se3 Se 0.464 0.750 0.150
# Raw total energy = -5.2544 eV per atom

---

3.
# K3LiHf2Se6, relaxed, DFT PBE
data_K3LiHf2Se6
_chemical_formula_sum 'K6 Li2 Hf4 Se12'
_cell_length_a 6.964
_cell_length_b 12.079
_cell_length_c 7.940
_cell_angle_alpha 90.00
_cell_angle_beta 106.99
_cell_angle_gamma 90.00
_space_group_name_H-M_alt 'C 1 2/m 1'
_space_group_IT_number 12
_space_group_name_Hall '-C 2y'
loop_
_atom_site_label
_atom_site_type_symbol
_atom_site_fract_x
_atom_site_fract_y
_atom_site_fract_z
K1 K 0.000 0.000 0.000
K2 K 0.000 0.340 0.000
Li1 Li 0.000 0.500 0.500
Hf1 Hf 0.000 0.168 0.500
Se1 Se 0.214 0.000 0.694
Se2 Se 0.242 0.324 0.697
# Raw total energy = -5.1862 eV per atom

---

4.
# K4LiHf3Te8, relaxed, DFT PBE
data_K4LiHf3Te8
_chemical_formula_sum 'K12 Li3 Hf9 Te24'
_cell_length_a 8.5233
_cell_length_b 8.5233
_cell_length_c 24.6042
_cell_angle_alpha 90.00
_cell_angle_beta 90.00
_cell_angle_gamma 120.00
_space_group_name_H-M_alt 'R -3 m'
_space_group_IT_number 166
_space_group_name_Hall '-R 3 2"'
loop_
_atom_site_label
_atom_site_type_symbol
_atom_site_fract_x
_atom_site_fract_y
_atom_site_fract_z
K1 K 0.0000 0.0000 0.0000
K2 K 0.0000 0.5000 0.0000
Li1 Li 0.0000 0.0000 0.5000
Hf1 Hf 0.0000 0.5000 0.5000
Te1 Te 0.0000 0.0000 0.2335
Te2 Te 0.0065 0.5032 0.7680
# Raw total energy = -4.7705 eV per atom

---

Which of these has the highest raw total energy? K4LiHf3Te8